The following is a DFT calculation (PBE) of crystalline KReGe2C at its relaxed geometry.

Cell and atoms, written as POSCAR:
```
KReGe2C
1.0
4.9881 0.0000 0.0000
0.0000 4.9881 0.0000
0.0000 0.0000 4.0714
K Re Ge C
1 1 2 1
Cartesian
0.0000 0.0000 0.0000
2.4940 2.4940 2.0357
0.0000 2.4940 2.0357
2.4940 0.0000 2.0357
2.4940 2.4940 0.0000
```

Results
Total moment, μB/cell: 0.00
Calculated total energy, eV for the cell shown: -28.80
Calculated density, g/cm³: 6.272